# 1
Compound: YSc2Cd
Source: the Alexandria database
Functional: PBE-GGA
Structure: relaxed

a b c (Å): 10.5837 10.5837 10.5837
angles (deg): 18.44 18.44 18.44
Element x y z (fractional)
Sc: 0.0063 0.0063 0.0063
Sc: 0.4937 0.4937 0.4937
Cd: 0.7500 0.7500 0.7500
Y: 0.2500 0.2500 0.2500

Computed properties:
The final energy is -20.1 eV for the cell shown. The formation energy comes out at -0.03 eV per atom.

=====

# 2
Compound: YScCd14
Source: the Alexandria database
Functional: PBE-GGA
Structure: relaxed

a b c (Å): 6.5308 6.5308 8.4784
angles (deg): 90.00 90.00 89.99
Element x y z (fractional)
Cd: 0.1295 0.1295 0.2463
Cd: 0.6205 0.6205 0.2462
Cd: 0.8750 0.3750 0.5000
Cd: 0.1294 0.6206 0.2462
Cd: 0.1295 0.1295 0.7537
Cd: 0.1294 0.6206 0.7538
Cd: 0.3750 0.3750 0.0000
Cd: 0.6205 0.6205 0.7538
Cd: 0.6206 0.1294 0.2462
Cd: 0.3750 0.8750 0.0000
Cd: 0.3750 0.8750 0.5000
Cd: 0.8750 0.3750 0.0000
Cd: 0.6206 0.1294 0.7538
Cd: 0.8750 0.8750 0.0000
Y: 0.8750 0.8750 0.5000
Sc: 0.3750 0.3750 0.5000

Computed properties:
The final energy is -27.6 eV for the cell shown. The formation energy comes out at -0.12 eV per atom.

=====

# 3
Compound: YScCd2
Source: the Alexandria database
Functional: PBE-GGA
Structure: relaxed

a b c (Å): 5.2439 5.2439 6.1542
angles (deg): 79.11 79.11 38.64
Element x y z (fractional)
Cd: 0.9952 0.9952 0.0216
Cd: 0.5048 0.5048 0.4784
Y: 0.7500 0.7500 0.7500
Sc: 0.2500 0.2500 0.2500

Computed properties:
The final energy is -15.2 eV for the cell shown. The formation energy comes out at -0.15 eV per atom.

=====

# 4
Compound: YScCd
Source: the Alexandria database
Functional: PBE-GGA
Structure: relaxed

a b c (Å): 4.8823 6.9813 4.8628
angles (deg): 90.00 90.00 69.54
Element x y z (fractional)
Y: 0.1964 0.9266 0.5347
Y: 0.8778 0.5638 0.5347
Cd: 0.5372 0.2452 0.5347
Cd: 0.0372 0.2452 0.0347
Sc: 0.6950 0.9292 0.0347
Sc: 0.3791 0.5613 0.0347

Computed properties:
For the energy above the most stable polymorph in this dataset, the calculation gives 0.13 eV per formula unit. The final energy is -28.5 eV for the cell shown. The formation energy comes out at -0.17 eV per atom.

=====

# 5
Compound: YScCd
Source: the Alexandria database
Functional: PBE-GGA
Structure: relaxed

a b c (Å): 3.4070 3.4070 13.9570
angles (deg): 97.01 97.01 90.00
Element x y z (fractional)
Sc: 0.7111 0.7111 0.4223
Sc: 0.2889 0.2889 0.5777
Cd: 0.8590 0.8590 0.7180
Cd: 0.1410 0.1410 0.2820
Y: 0.5636 0.5636 0.1272
Y: 0.4364 0.4364 0.8728

Computed properties:
For the energy above the most stable polymorph in this dataset, the calculation gives 0.46 eV per formula unit. The final energy is -27.8 eV for the cell shown. The formation energy comes out at -0.06 eV per atom.

=====

# 6
Compound: YScCd
Source: the Alexandria database
Functional: PBE-GGA
Structure: relaxed

a b c (Å): 6.6910 4.5532 9.9735
angles (deg): 90.00 90.00 90.00
Element x y z (fractional)
Sc: 0.8745 0.2500 0.3956
Sc: 0.3745 0.2500 0.1044
Sc: 0.1255 0.7500 0.6044
Sc: 0.6255 0.7500 0.8956
Cd: 0.1147 0.7500 0.2594
Cd: 0.6147 0.7500 0.2406
Cd: 0.8853 0.2500 0.7406
Cd: 0.3853 0.2500 0.7594
Y: 0.1381 0.7500 0.9241
Y: 0.3619 0.2500 0.4241
Y: 0.8619 0.2500 0.0759
Y: 0.6381 0.7500 0.5759

Computed properties:
For the energy above the most stable polymorph in this dataset, the calculation gives 0.40 eV per formula unit. The final energy is -55.8 eV for the cell shown. The formation energy comes out at -0.08 eV per atom.

=====

# 7
Compound: Y5ScCd6
Source: the Alexandria database
Functional: PBE-GGA
Structure: relaxed

a b c (Å): 5.2429 7.4460 8.3143
angles (deg): 90.00 71.65 90.00
Element x y z (fractional)
Cd: 0.1623 0.7572 0.6755
Cd: 0.8377 0.2428 0.3245
Cd: 0.8377 0.7572 0.3245
Cd: 0.5000 0.2423 0.0000
Cd: 0.1623 0.2428 0.6755
Cd: 0.5000 0.7577 0.0000
Y: 0.6692 0.5000 0.6616
Y: 0.3308 0.5000 0.3384
Y: 0.0000 0.5000 0.0000
Y: 0.6655 0.0000 0.6690
Y: 0.3345 0.0000 0.3310
Sc: 0.0000 0.0000 0.0000

Computed properties:
The final energy is -48.2 eV for the cell shown. The formation energy comes out at -0.34 eV per atom.

=====

# 8
Compound: Y5Sc4Cd
Source: the Alexandria database
Functional: PBE-GGA
Structure: relaxed

a b c (Å): 3.5038 3.5038 22.8361
angles (deg): 90.00 90.00 90.00
Element x y z (fractional)
Sc: 0.0000 0.0000 0.8047
Sc: 0.0000 0.0000 0.3983
Sc: 0.0000 0.0000 0.1953
Sc: 0.0000 0.0000 0.6017
Y: 0.5000 0.5000 0.7031
Y: 0.5000 0.5000 0.5000
Y: 0.5000 0.5000 0.0933
Y: 0.5000 0.5000 0.9067
Y: 0.5000 0.5000 0.2969
Cd: 0.0000 0.0000 0.0000

Computed properties:
The final energy is -58.7 eV for the cell shown. The formation energy comes out at -0.02 eV per atom.

=====

# 9
Compound: YSc2Cd
Source: the Alexandria database
Functional: PBE-GGA
Structure: relaxed

a b c (Å): 6.3168 6.3168 6.3168
angles (deg): 146.87 131.58 59.93
Element x y z (fractional)
Sc: 0.4753 0.4753 0.0000
Sc: 0.0247 0.0247 0.0000
Cd: 0.2500 0.7500 0.5000
Y: 0.7500 0.2500 0.5000

Computed properties:
The final energy is -20.6 eV for the cell shown. The formation energy comes out at -0.14 eV per atom.

=====

# 10
Compound: YScCd
Source: the Alexandria database
Functional: PBE-GGA
Structure: relaxed

a b c (Å): 4.9923 4.9923 8.7072
angles (deg): 73.34 73.34 60.00
Element x y z (fractional)
Sc: 0.6295 0.6295 0.1114
Sc: 0.3705 0.3705 0.8886
Cd: 0.2531 0.2531 0.2406
Cd: 0.7469 0.7469 0.7594
Y: 0.1209 0.1209 0.6374
Y: 0.8791 0.8791 0.3626

Computed properties:
For the energy above the most stable polymorph in this dataset, the calculation gives 1.00 eV per formula unit. The final energy is -26.7 eV for the cell shown. The formation energy comes out at 0.12 eV per atom.

=====

# 11
Compound: Y2Sc2Cd3
Source: the Alexandria database
Functional: PBE-GGA
Structure: relaxed

a b c (Å): 4.5413 3.2608 11.8506
angles (deg): 90.00 78.95 90.00
Element x y z (fractional)
Cd: 0.1561 0.0000 0.6878
Cd: 0.0000 0.0000 0.0000
Cd: 0.8439 0.0000 0.3122
Sc: 0.7086 0.5000 0.5828
Sc: 0.2914 0.5000 0.4172
Y: 0.4259 0.5000 0.1483
Y: 0.5741 0.5000 0.8517

Computed properties:
The final energy is -29.4 eV for the cell shown. The formation energy comes out at -0.16 eV per atom.

=====

# 12
Compound: Y3Sc2Cd3
Source: the Alexandria database
Functional: PBE-GGA
Structure: relaxed

a b c (Å): 3.6577 5.2551 11.3025
angles (deg): 103.44 99.31 90.00
Element x y z (fractional)
Y: 0.3735 0.3735 0.7471
Y: 0.6265 0.6265 0.2529
Y: 0.5000 0.0000 0.0000
Sc: 0.7360 0.2360 0.4721
Sc: 0.2640 0.7640 0.5279
Cd: 0.8758 0.8758 0.7516
Cd: 0.0000 0.5000 0.0000
Cd: 0.1242 0.1242 0.2484

Computed properties:
The final energy is -36.7 eV for the cell shown. The formation energy comes out at -0.24 eV per atom.

=====

# 13
Compound: YSc3Cd
Source: the Alexandria database
Functional: PBE-GGA
Structure: relaxed

a b c (Å): 5.1895 7.8015 6.4383
angles (deg): 90.00 90.00 77.05
Element x y z (fractional)
Sc: 0.6572 0.7900 0.4889
Sc: 0.2283 0.5677 0.2500
Sc: 0.7717 0.4323 0.7500
Sc: 0.3428 0.2100 0.9889
Sc: 0.6572 0.7900 0.0111
Sc: 0.3428 0.2100 0.5111
Y: 0.7960 0.3552 0.2500
Y: 0.2040 0.6448 0.7500
Cd: 0.9168 0.0508 0.7500
Cd: 0.0832 0.9492 0.2500

Computed properties:
For the energy above the most stable polymorph in this dataset, the calculation gives 0.00 eV per formula unit. The final energy is -52.8 eV for the cell shown. The formation energy comes out at -0.01 eV per atom.

=====

# 14
Compound: YSc2Cd
Source: the Alexandria database
Functional: PBE-GGA
Structure: relaxed

a b c (Å): 3.3546 4.6635 6.4762
angles (deg): 90.00 90.00 90.00
Element x y z (fractional)
Sc: 0.0000 0.0000 0.5066
Sc: 0.0000 0.0000 0.9934
Cd: 0.5000 0.5000 0.7500
Y: 0.5000 0.5000 0.2500

Computed properties:
The final energy is -20.2 eV for the cell shown. The formation energy comes out at -0.04 eV per atom.

=====

# 15
Compound: YScCd4
Source: the Alexandria database
Functional: PBE-GGA
Structure: relaxed

a b c (Å): 3.3385 4.9231 9.1631
angles (deg): 90.00 111.41 90.00
Element x y z (fractional)
Sc: 0.0013 0.9972 0.4981
Cd: 0.3387 0.4972 0.3354
Cd: 0.8289 0.9974 0.8263
Cd: 0.1735 0.9972 0.1700
Cd: 0.6640 0.4974 0.6609
Y: 0.5013 0.4973 0.9982

Computed properties:
For the energy above the most stable polymorph in this dataset, the calculation gives 0.00 eV per formula unit. The final energy is -18.1 eV for the cell shown. The formation energy comes out at -0.28 eV per atom.

=====

# 16
Compound: YScCd
Source: the Alexandria database
Functional: PBE-GGA
Structure: relaxed

a b c (Å): 4.6622 4.6622 11.6627
angles (deg): 90.00 90.00 120.00
Element x y z (fractional)
Y: 0.0000 0.0000 0.0000
Y: 0.0000 0.0000 0.5000
Sc: 0.0000 0.0000 0.2500
Sc: 0.0000 0.0000 0.7500
Cd: 0.6667 0.3333 0.7500
Cd: 0.3333 0.6667 0.2500

Computed properties:
For the energy above the most stable polymorph in this dataset, the calculation gives 3.59 eV per formula unit. The final energy is -21.5 eV for the cell shown. The formation energy comes out at 0.98 eV per atom.

=====

# 17
Compound: YSc3Cd
Source: the Alexandria database
Functional: PBE-GGA
Structure: relaxed

a b c (Å): 5.2714 5.2714 5.2714
angles (deg): 90.00 90.00 90.00
Element x y z (fractional)
Y: 0.0000 0.0000 0.0000
Sc: 0.0000 0.5000 0.0000
Sc: 0.5000 0.0000 0.0000
Sc: 0.0000 0.0000 0.5000
Cd: 0.5000 0.5000 0.5000

Computed properties:
For the energy above the most stable polymorph in this dataset, the calculation gives 4.60 eV per formula unit. The final energy is -21.8 eV for the cell shown. The formation energy comes out at 0.91 eV per atom.

=====

# 18
Compound: YScCd
Source: the Alexandria database
Functional: PBE-GGA
Structure: relaxed

a b c (Å): 9.0061 6.5528 5.2071
angles (deg): 90.00 90.00 90.00
Element x y z (fractional)
Y: 0.3333 0.2500 0.9994
Y: 0.6667 0.7500 0.0006
Y: 0.8333 0.2500 0.5006
Y: 0.1667 0.7500 0.4994
Sc: 0.0000 0.5000 0.0000
Sc: 0.5000 0.5000 0.5000
Sc: 0.5000 0.0000 0.5000
Sc: 0.0000 0.0000 0.0000
Cd: 0.6668 0.2500 0.0007
Cd: 0.8332 0.7500 0.5007
Cd: 0.1668 0.2500 0.4993
Cd: 0.3332 0.7500 0.9993

Computed properties:
For the energy above the most stable polymorph in this dataset, the calculation gives 0.05 eV per formula unit. The final energy is -57.2 eV for the cell shown. The formation energy comes out at -0.20 eV per atom.

=====

# 19
Compound: YSc2Cd
Source: the Alexandria database
Functional: PBE-GGA
Structure: relaxed

a b c (Å): 4.9147 3.3695 6.4547
angles (deg): 72.95 90.00 90.00
Element x y z (fractional)
Sc: 0.0000 0.9266 0.9847
Sc: 0.0000 0.5734 0.5153
Cd: 0.5000 0.7500 0.7500
Y: 0.5000 0.2500 0.2500

Computed properties:
The final energy is -20.2 eV for the cell shown. The formation energy comes out at -0.05 eV per atom.

=====

# 20
Compound: Y2ScCd
Source: the Alexandria database
Functional: PBE-GGA
Structure: relaxed

a b c (Å): 6.3581 6.3581 5.1627
angles (deg): 66.07 66.07 35.35
Element x y z (fractional)
Y: 0.0239 0.0239 0.9761
Y: 0.4761 0.4761 0.5239
Cd: 0.7500 0.7500 0.7500
Sc: 0.2500 0.2500 0.2500

Computed properties:
The final energy is -20.6 eV for the cell shown. The formation energy comes out at -0.09 eV per atom.